Zr4GaNi: optimized geometry, PBE-GGA.

Cell: 6.6659 6.6659 5.3009 Å, 90.00 90.00 90.00°
Last column: nearest neighbours and their distance in Å.
Positions (direct):
Zr  0.1514  0.3339  0.0000  2 Ni 2.78, 2 Ga 2.90, 1 Zr 3.00
Zr  0.1514  0.6661  0.5000  2 Ni 2.78, 2 Ga 2.90, 1 Zr 3.00
Zr  0.3339  0.1514  0.5000  2 Ni 2.78, 2 Ga 2.90, 1 Zr 3.00
Zr  0.3339  0.8486  0.0000  2 Ni 2.78, 2 Ga 2.90, 1 Zr 3.00
Zr  0.6661  0.1514  0.0000  2 Ni 2.78, 2 Ga 2.90, 1 Zr 3.00
Zr  0.6661  0.8486  0.5000  2 Ni 2.78, 2 Ga 2.90, 1 Zr 3.00
Zr  0.8486  0.3339  0.5000  2 Ni 2.78, 2 Ga 2.90, 1 Zr 3.00
Zr  0.8486  0.6661  0.0000  2 Ni 2.78, 2 Ga 2.90, 1 Zr 3.00
Ga  0.5000  0.5000  0.2500  2 Ga 2.65, 8 Zr 2.90
Ga  0.5000  0.5000  0.7500  2 Ga 2.65, 8 Zr 2.90
Ni  0.0000  0.0000  0.2500  2 Ni 2.65, 8 Zr 2.78
Ni  0.0000  0.0000  0.7500  2 Ni 2.65, 8 Zr 2.78

Its space group is P4/mcc. The energy above the most stable polymorph in this dataset is 0.00 eV per formula unit. Its crystal system is tetragonal.


ZrGa2Ni: optimized geometry, PBE-GGA.

Cell: 3.0312 3.0312 6.7830 Å, 90.00 90.00 90.00°
Last column: nearest neighbours and their distance in Å.
Positions (direct):
Zr  0.0000  0.0000  0.0000  8 Ga 2.94, 4 Zr 3.03
Ga  0.5000  0.5000  0.2958  4 Ni 2.55, 1 Ga 2.77
Ga  0.5000  0.5000  0.7042  4 Ni 2.55, 1 Ga 2.77
Ni  0.0000  0.0000  0.5000  8 Ga 2.55

Its space group is P4/mmm. Its crystal system is tetragonal.


Zr2Ga2Ni: optimized geometry, PBE-GGA.

Cell: 6.4237 6.4237 4.2475 Å, 90.00 90.00 90.00°
Last column: nearest neighbours and their distance in Å.
Positions (direct):
Zr  0.1715  0.3285  0.0000  6 Ga 2.73-2.93
Zr  0.3285  0.8285  0.0000  6 Ga 2.73-2.93
Zr  0.6715  0.1715  0.0000  6 Ga 2.73-2.93
Zr  0.8285  0.6715  0.0000  6 Ga 2.73-2.93
Ga  0.1405  0.6405  0.5000  2 Ni 2.48, 1 Ga 2.55, 2 Zr 2.73
Ga  0.3595  0.1405  0.5000  2 Ni 2.48, 1 Ga 2.55, 2 Zr 2.73
Ga  0.6405  0.8595  0.5000  2 Ni 2.48, 1 Ga 2.55, 2 Zr 2.73
Ga  0.8595  0.3595  0.5000  2 Ni 2.48, 1 Ga 2.55, 2 Zr 2.73
Ni  0.0000  0.0000  0.5000  4 Ga 2.48
Ni  0.5000  0.5000  0.5000  4 Ga 2.48

Its space group is P4/mbm. The energy above the most stable polymorph in this dataset is 0.22 eV per formula unit. Its crystal system is tetragonal.


| no. | magnetization (μB/f.u.) | energy of formation (eV/atom) |
| --- | --- | --- |
| 1 | 0.0 | -0.3695 |
| 2 | 0.0 | -0.4658 |
| 3 | 0.0 | -0.5508 |